Below is a relaxed structure of Sr2CoF6, with properties calculated at the GGA+U level.

a = 5.539 Å, b = 6.527 Å, c = 7.761 Å
α = 90.00°, β = 93.90°, γ = 90.00°
Site moments in Bohr magnetons follow the coordinates.
Fractional coordinates of all 18 atoms:
Sr 0.964 0.396 0.743  0.00
Sr 0.536 0.896 0.757  0.00
Sr 0.464 0.104 0.243  0.00
Sr 0.036 0.604 0.257  0.00
Co 0.500 0.500 0.000  2.76
Co 0.000 0.000 0.500  2.76
F 0.873 0.953 0.255  0.04
F 0.864 0.714 0.565  0.03
F 0.811 0.650 0.945  0.03
F 0.689 0.150 0.555  0.03
F 0.636 0.214 0.935  0.03
F 0.627 0.453 0.245  0.04
F 0.127 0.047 0.745  0.04
F 0.136 0.286 0.435  0.03
F 0.189 0.350 0.055  0.03
F 0.311 0.850 0.445  0.03
F 0.364 0.786 0.065  0.03
F 0.373 0.547 0.755  0.04

Properties
Total magnetic moment: 3.0 μB per formula unit
Total DFT energy (no corrections): -5.488 eV/atom